The following is a GGA-PBE calculation of ReSiTc2 after structural relaxation, from Alexandria.

Geometry as POSCAR:
```
ReSiTc2
1.0
3.989 0.000 0.000
0.000 2.825 0.017
0.000 2.807 5.089
Re Si Tc
1 1 2
direct
0.000 0.498 0.500
0.500 0.740 0.760
0.000 0.026 0.976
0.500 0.236 0.264
```

Computed properties:
**Total magnetization**: 0.00 μB/f.u.
**Raw formation energy**: -97 meV per atom
**Space group**: No. 6
**Crystal system**: monoclinic